The following is a DFT calculation (PBE-GGA) of CrIn2Au after structural relaxation.

```
data_CrIn2Au
_cell_length_a 5.345
_cell_length_b 5.343
_cell_length_c 4.220
_cell_angle_alpha 66.78
_cell_angle_beta 66.71
_cell_angle_gamma 46.51
_space_group_name_H-M_alt 'P 1'
_space_group_IT_number 1
_space_group_name_Hall 'P 1'
loop_
_atom_site_label
_atom_site_fract_x
_atom_site_fract_y
_atom_site_fract_z
Cr1 0.000 0.000 0.000
In1 0.250 0.250 0.250
In2 0.500 0.500 0.500
Au1 0.750 0.750 0.750
```

Properties
Total moment: 0.914 μB/atom
ΔE_f: 0.12 eV per atom
Uncorrected energy: -17.9 eV for the cell shown
SG: F222

The following is a DFT calculation (PBE-GGA) of Dy2GaSi3Ni12 after structural relaxation.

```
data_Dy2GaSi3Ni12
_cell_length_a 6.265
_cell_length_b 6.265
_cell_length_c 6.265
_cell_angle_alpha 84.23
_cell_angle_beta 84.23
_cell_angle_gamma 84.23
_space_group_name_H-M_alt 'P 1'
_space_group_IT_number 1
_space_group_name_Hall 'P 1'
loop_
_atom_site_label
_atom_site_fract_x
_atom_site_fract_y
_atom_site_fract_z
Dy1 0.153 0.153 0.153
Dy2 0.847 0.847 0.847
Ga1 0.500 0.500 0.500
Si1 0.000 0.500 0.500
Si2 0.500 0.000 0.500
Si3 0.500 0.500 0.000
Ni1 0.115 0.115 0.596
Ni2 0.115 0.596 0.115
Ni3 0.204 0.686 0.686
Ni4 0.314 0.314 0.796
Ni5 0.314 0.796 0.314
Ni6 0.404 0.885 0.885
Ni7 0.596 0.115 0.115
Ni8 0.686 0.204 0.686
Ni9 0.686 0.686 0.204
Ni10 0.796 0.314 0.314
Ni11 0.885 0.404 0.885
Ni12 0.885 0.885 0.404
```

Properties
Total moment: 0.000 μB/atom
Uncorrected energy: -101.7 eV for the cell shown
Energy relative to the elements, uncorrected: -0.212 eV per atom
SG: R-3m

The following is a DFT calculation (PBE-GGA) of Dy3Zn4Cd2 after structural relaxation.

```
data_Dy3Zn4Cd2
_cell_length_a 5.810
_cell_length_b 5.810
_cell_length_c 8.753
_cell_angle_alpha 113.53
_cell_angle_beta 113.53
_cell_angle_gamma 47.27
_space_group_name_H-M_alt 'P 1'
_space_group_IT_number 1
_space_group_name_Hall 'P 1'
loop_
_atom_site_label
_atom_site_fract_x
_atom_site_fract_y
_atom_site_fract_z
Dy1 0.000 0.000 0.000
Dy2 0.337 0.337 0.327
Dy3 0.663 0.663 0.673
Zn1 0.056 0.056 0.396
Zn2 0.271 0.271 0.947
Zn3 0.729 0.729 0.053
Zn4 0.944 0.944 0.604
Cd1 0.381 0.381 0.716
Cd2 0.619 0.619 0.284
```

Properties
Total moment: 0.000 μB/atom
ΔE_f: -0.33 eV per atom
Uncorrected energy: -23.7 eV for the cell shown
SG: C2/m

The following is a DFT calculation (PBE-GGA) of Mg2Si2Pt5Au after structural relaxation.

```
data_Mg2Si2Pt5Au
_cell_length_a 9.421
_cell_length_b 9.421
_cell_length_c 3.643
_cell_angle_alpha 90.00
_cell_angle_beta 90.00
_cell_angle_gamma 90.00
_space_group_name_H-M_alt 'P 1'
_space_group_IT_number 1
_space_group_name_Hall 'P 1'
loop_
_atom_site_label
_atom_site_fract_x
_atom_site_fract_y
_atom_site_fract_z
Mg1 0.172 0.328 0.000
Mg2 0.328 0.828 0.000
Mg3 0.672 0.172 0.000
Mg4 0.828 0.672 0.000
Si1 0.129 0.629 0.000
Si2 0.371 0.129 0.000
Si3 0.629 0.871 0.000
Si4 0.871 0.371 0.000
Pt1 0.000 0.500 0.500
Pt2 0.075 0.792 0.500
Pt3 0.208 0.075 0.500
Pt4 0.292 0.575 0.500
Pt5 0.425 0.292 0.500
Pt6 0.500 0.000 0.500
Pt7 0.575 0.708 0.500
Pt8 0.708 0.425 0.500
Pt9 0.792 0.925 0.500
Pt10 0.925 0.208 0.500
Au1 0.000 0.000 0.000
Au2 0.500 0.500 0.000
```

Properties
Total moment: 0.000 μB/atom
Uncorrected energy: -107.7 eV for the cell shown
Energy relative to the elements, uncorrected: -0.631 eV per atom
SG: P4/mbm

The following is a DFT calculation (PBE-GGA) of Ta2AgPb after structural relaxation.

```
data_Ta2AgPb
_cell_length_a 3.031
_cell_length_b 3.031
_cell_length_c 9.547
_cell_angle_alpha 90.00
_cell_angle_beta 90.00
_cell_angle_gamma 109.36
_space_group_name_H-M_alt 'P 1'
_space_group_IT_number 1
_space_group_name_Hall 'P 1'
loop_
_atom_site_label
_atom_site_fract_x
_atom_site_fract_y
_atom_site_fract_z
Ta1 0.000 0.000 0.000
Ta2 0.500 0.500 0.222
Ag1 0.000 0.000 0.458
Pb1 0.500 0.500 0.735
```

Properties
Total moment: 0.000 μB/atom
ΔE_f: 0.28 eV per atom
Uncorrected energy: -29.1 eV for the cell shown
SG: Cmm2

The following is a DFT calculation (PBE-GGA) of AgPd2N after structural relaxation.

```
data_AgPd2N
_cell_length_a 6.798
_cell_length_b 6.798
_cell_length_c 6.798
_cell_angle_alpha 135.49
_cell_angle_beta 135.49
_cell_angle_gamma 64.77
_space_group_name_H-M_alt 'P 1'
_space_group_IT_number 1
_space_group_name_Hall 'P 1'
loop_
_atom_site_label
_atom_site_fract_x
_atom_site_fract_y
_atom_site_fract_z
Ag1 0.000 0.000 0.000
Ag2 0.750 0.250 0.500
Pd1 0.314 0.625 0.189
Pd2 0.375 0.564 0.689
Pd3 0.436 0.125 0.811
Pd4 0.875 0.686 0.311
N1 0.250 0.750 0.500
N2 0.500 0.500 0.000
```

Properties
Total moment: 0.000 μB/atom
Uncorrected energy: -38.4 eV for the cell shown
Energy relative to the elements, uncorrected: 0.594 eV per atom
SG: I-42d

The following is a DFT calculation (PBE-GGA) of Sm2PaAu after structural relaxation.

```
data_Sm2PaAu
_cell_length_a 3.571
_cell_length_b 3.571
_cell_length_c 8.356
_cell_angle_alpha 90.00
_cell_angle_beta 90.00
_cell_angle_gamma 90.00
_space_group_name_H-M_alt 'P 1'
_space_group_IT_number 1
_space_group_name_Hall 'P 1'
loop_
_atom_site_label
_atom_site_fract_x
_atom_site_fract_y
_atom_site_fract_z
Sm1 0.000 0.000 0.226
Sm2 0.000 0.000 0.774
Pa1 0.500 0.500 0.500
Au1 0.500 0.500 0.000
```

Properties
Total moment: 0.000 μB/atom
ΔE_f: -0.25 eV per atom
Uncorrected energy: -23.2 eV for the cell shown
SG: P4/mmm

The following is a DFT calculation (PBE-GGA) of CsNa2SrBi after structural relaxation.

```
data_CsNa2SrBi
_cell_length_a 6.419
_cell_length_b 6.419
_cell_length_c 6.560
_cell_angle_alpha 90.00
_cell_angle_beta 90.00
_cell_angle_gamma 90.00
_space_group_name_H-M_alt 'P 1'
_space_group_IT_number 1
_space_group_name_Hall 'P 1'
loop_
_atom_site_label
_atom_site_fract_x
_atom_site_fract_y
_atom_site_fract_z
Cs1 0.000 0.000 0.000
Na1 0.000 0.500 0.500
Na2 0.500 0.000 0.500
Sr1 0.500 0.500 0.000
Bi1 0.500 0.500 0.500
```

Properties
Total moment: 0.000 μB/atom
ΔE_f: -0.21 eV per atom
Uncorrected energy: -10.1 eV for the cell shown
SG: P4/mmm

The following is a DFT calculation (PBE-GGA) of CaAcCl after structural relaxation.

```
data_CaAcCl
_cell_length_a 3.927
_cell_length_b 3.927
_cell_length_c 7.711
_cell_angle_alpha 90.00
_cell_angle_beta 90.00
_cell_angle_gamma 120.00
_space_group_name_H-M_alt 'P 1'
_space_group_IT_number 1
_space_group_name_Hall 'P 1'
loop_
_atom_site_label
_atom_site_fract_x
_atom_site_fract_y
_atom_site_fract_z
Ca1 0.000 0.000 0.000
Ac1 0.333 0.667 0.583
Cl1 0.667 0.333 0.258
```

Properties
Total moment: 0.018 μB/atom
Uncorrected energy: -10.9 eV for the cell shown
Energy relative to the elements, uncorrected: -0.993 eV per atom
SG: P3m1

The following is a DFT calculation (PBE-GGA) of MgNbS after structural relaxation.

```
data_MgNbS
_cell_length_a 12.017
_cell_length_b 3.256
_cell_length_c 3.256
_cell_angle_alpha 60.00
_cell_angle_beta 90.00
_cell_angle_gamma 90.00
_space_group_name_H-M_alt 'P 1'
_space_group_IT_number 1
_space_group_name_Hall 'P 1'
loop_
_atom_site_label
_atom_site_fract_x
_atom_site_fract_y
_atom_site_fract_z
Mg1 0.193 0.000 0.000
Mg2 0.807 0.000 0.000
Nb1 0.000 0.667 0.667
Nb2 0.500 0.001 0.001
S1 0.363 0.668 0.668
S2 0.637 0.668 0.668
```

Properties
Total moment: 0.000 μB/atom
Uncorrected energy: -34.7 eV for the cell shown
Energy relative to the elements, uncorrected: -0.525 eV per atom
SG: Amm2

The following is a DFT calculation (PBE-GGA) of Er2MgSnN4 after structural relaxation.

```
data_Er2MgSnN4
_cell_length_a 5.604
_cell_length_b 3.380
_cell_length_c 5.749
_cell_angle_alpha 90.00
_cell_angle_beta 108.51
_cell_angle_gamma 90.00
_space_group_name_H-M_alt 'P 1'
_space_group_IT_number 1
_space_group_name_Hall 'P 1'
loop_
_atom_site_label
_atom_site_fract_x
_atom_site_fract_y
_atom_site_fract_z
Er1 0.000 0.000 0.000
Er2 0.000 0.500 0.500
Mg1 0.500 0.000 0.500
Sn1 0.500 0.500 0.000
N1 0.256 0.500 0.245
N2 0.260 0.000 0.750
N3 0.740 0.000 0.250
N4 0.744 0.500 0.755
```

Properties
Total moment: 0.000 μB/atom
Uncorrected energy: -55.7 eV for the cell shown
Energy relative to the elements, uncorrected: -0.962 eV per atom
SG: P2/m

The following is a DFT calculation (PBE-GGA) of CaLaAu after structural relaxation.

```
data_CaLaAu
_cell_length_a 7.240
_cell_length_b 7.240
_cell_length_c 7.240
_cell_angle_alpha 150.39
_cell_angle_beta 150.39
_cell_angle_gamma 42.37
_space_group_name_H-M_alt 'P 1'
_space_group_IT_number 1
_space_group_name_Hall 'P 1'
loop_
_atom_site_label
_atom_site_fract_x
_atom_site_fract_y
_atom_site_fract_z
Ca1 0.000 0.000 0.000
La1 0.269 0.269 0.000
Au1 0.632 0.632 0.000
```

Properties
Total moment: 0.037 μB/atom
ΔE_f: -0.51 eV per atom
Uncorrected energy: -11.7 eV for the cell shown
SG: I4mm